Below is crystalline CsCdAg3 at its relaxed geometry, with properties calculated at the GGA-PBE level.

Output
Total DFT energy (no corrections) (Ry/atom): -0.149
Relative energy among the computed polymorphs (meV per atom): 1
Energy of formation (kJ/mol of formula units): 21
Theoretical density (Mg/m³): 6.256

abc: 9.606 6.975 9.611
angles: 90.00 110.29 90.00
Space group P2_1/c (No. 14)
Symmetry-distinct sites (fractional):
Cs (0.136, 0.002, 0.210) x4
Cd (0.417, 0.698, 0.095) x4
Ag (0.146, 0.000, 0.584) x4
Ag (0.376, 0.502, 0.362) x4
Ag (0.402, 0.211, 0.593) x4

Below is crystalline NaAlCuSi2 at its relaxed geometry, with properties calculated at the GGA-PBE level.

Output
Total DFT energy (no corrections) (Ry/atom): -0.300
Theoretical density (Mg/m³): 3.250

abc: 4.074 4.074 10.447
angles: 90.00 90.00 90.00
Space group I-4m2 (No. 119)
Symmetry-distinct sites (fractional):
Na (0.000, 0.000, 0.000) x2
Al (0.000, 0.500, 0.250) x2
Cu (0.000, 0.500, 0.750) x2
Si (0.000, 0.000, 0.387) x4

Below is crystalline AlCdSnS2 at its relaxed geometry, with properties calculated at the GGA-PBE level.

Output
Total DFT energy (no corrections) (Ry/atom): -0.203
Theoretical density (Mg/m³): 3.846

abc: 4.995 4.995 5.576
angles: 90.00 90.00 90.00
Space group P4/mmm (No. 123)
Symmetry-distinct sites (fractional):
Al (0.000, 0.000, 0.000) x1
Cd (0.500, 0.500, 0.500) x1
Sn (0.500, 0.500, 0.000) x1
S (0.000, 0.500, 0.500) x2

Below is crystalline KLaCrAs2 at its relaxed geometry, with properties calculated at the GGA-PBE level.

Output
Total DFT energy (no corrections) (Ry/atom): -0.353
Energy of formation (kJ/mol of formula units): 90
Theoretical density (Mg/m³): 5.468

abc: 4.884 4.884 4.837
angles: 90.00 90.00 90.00
Space group P4/mmm (No. 123)
Symmetry-distinct sites (fractional):
K (0.000, 0.000, 0.000) x1
La (0.500, 0.500, 0.000) x1
Cr (0.000, 0.000, 0.500) x1
As (0.000, 0.500, 0.500) x2

Below is crystalline CaTa2Al at its relaxed geometry, with properties calculated at the GGA-PBE level.

Output
Total DFT energy (no corrections) (Ry/atom): -0.530
Energy of formation (kJ/mol of formula units): 57
Theoretical density (Mg/m³): 8.196

abc: 3.477 3.477 7.190
angles: 90.00 90.00 90.00
Space group P4mm (No. 99)
Symmetry-distinct sites (fractional):
Ca (0.000, 0.000, 0.000) x1
Ta (0.000, 0.000, 0.490) x1
Ta (0.500, 0.500, 0.318) x1
Al (0.500, 0.500, 0.706) x1

Below is crystalline Pr6P5 at its relaxed geometry, with properties calculated at the GGA-PBE level.

Output
Total DFT energy (no corrections) (Ry/atom): -0.475
Energy of formation (kJ/mol of formula units): -1481
Theoretical density (Mg/m³): 5.326

abc: 7.260 12.557 7.259
angles: 90.00 109.52 90.00
Space group C2/m (No. 12)
Symmetry-distinct sites (fractional):
Pr (0.239, 0.000, 0.260) x4
Pr (0.241, 0.174, 0.744) x8
P (0.000, 0.000, 0.500) x2
P (0.000, 0.167, 0.000) x4
P (0.000, 0.334, 0.500) x4

Below is crystalline Na3NO at its relaxed geometry, with properties calculated at the GGA-PBE level.

Output
Total DFT energy (no corrections) (Ry/atom): -0.290
Relative energy among the computed polymorphs (meV per atom): 0
Theoretical density (Mg/m³): 2.136

abc: 13.005 7.895 5.994
angles: 90.00 90.00 90.00
Space group Cmce (No. 64)
Symmetry-distinct sites (fractional):
Na (0.119, 0.211, 0.007) x16
Na (0.209, 0.000, 0.500) x8
N (0.000, 0.008, 0.607) x8
O (0.250, 0.225, 0.750) x8

Below is crystalline Sn2GeBI at its relaxed geometry, with properties calculated at the GGA-PBE level.

Output
Total DFT energy (no corrections) (Ry/atom): -0.171
Theoretical density (Mg/m³): 3.914

abc: 5.875 5.875 5.502
angles: 90.00 90.00 90.00
Space group P4/mmm (No. 123)
Symmetry-distinct sites (fractional):
Sn (0.000, 0.500, 0.000) x2
Ge (0.000, 0.000, 0.500) x1
B (0.500, 0.500, 0.500) x1
I (0.000, 0.000, 0.000) x1

The evaluated V for the records listed, in turn: 604.0; 173.4; 139.1; 115.4; 86.9; 623.7; 615.4; 190.0 Å³ per cell.